Density functional theory data (PBE+U) for crystalline LiNbVO4 at its relaxed geometry.

Cell: 6.1634 6.1634 8.7646 Å, 90.00 90.00 90.00°
Positions (direct):
Li: 0.0000 0.2308 0.0000
Li: 0.0000 0.7692 0.5000
Li: 0.2308 0.0000 0.2500
Li: 0.7692 0.0000 0.7500
Nb: 0.2526 0.2526 0.6250
Nb: 0.2526 0.7474 0.8750
Nb: 0.7474 0.2526 0.3750
Nb: 0.7474 0.7474 0.1250
V: 0.2419 0.5000 0.2500
V: 0.5000 0.2419 0.0000
V: 0.5000 0.7581 0.5000
V: 0.7581 0.5000 0.7500
O: 0.0014 0.2532 0.7464
O: 0.0014 0.7468 0.7536
O: 0.2532 0.0014 0.5036
O: 0.2532 0.9986 0.9964
O: 0.2553 0.4984 0.0038
O: 0.2553 0.5016 0.4962
O: 0.4984 0.2553 0.2462
O: 0.4984 0.7447 0.2538
O: 0.5016 0.2553 0.7538
O: 0.5016 0.7447 0.7462
O: 0.7447 0.4984 0.9962
O: 0.7447 0.5016 0.5038
O: 0.7468 0.0014 0.4964
O: 0.7468 0.9986 0.0036
O: 0.9986 0.2532 0.2536
O: 0.9986 0.7468 0.2464

Space group = P4_322, No. 95
Uncorrected energy = -220.3 eV for the cell shown
Mass density = 4285 kg/m³